(1)
{"formula": "PrNd2", "functional": "PBE-GGA", "state": "relaxed", "lattice": [[0.0000, 4.7863, 4.7863], [4.7863, 0.0000, 4.7863], [4.7863, 4.7863, 0.0000]], "species": ["Nd", "Nd", "Nd", "Nd", "Pr", "Pr"], "fractional_positions": [[0.6250, 0.6250, 0.1250], [0.6250, 0.1250, 0.6250], [0.1250, 0.6250, 0.6250], [0.6250, 0.6250, 0.6250], [0.0000, 0.0000, 0.0000], [0.2500, 0.2500, 0.2500]], "formation_energy_ev_per_atom": 0.24, "magmom_total_mub_per_fu": 0.1, "e_above_lowest_polymorph_kcal_per_mol_atoms": 0.000}

***

(2)
{"formula": "TlZnTeF", "functional": "PBE-GGA", "state": "relaxed", "lattice": [[-3.3619, 0.8105, 11.5605], [0.7853, 0.0551, 12.0410], [-0.5857, 4.0129, 11.3648]], "species": ["F", "F", "Te", "Te", "Tl", "Tl", "Zn", "Zn"], "fractional_positions": [[0.3174, 0.3174, 0.3174], [0.6826, 0.6826, 0.6826], [0.0751, 0.0751, 0.0751], [0.9249, 0.9249, 0.9249], [0.2015, 0.2015, 0.2015], [0.7985, 0.7985, 0.7985], [0.3716, 0.3716, 0.3716], [0.6284, 0.6284, 0.6284]], "e_above_lowest_polymorph_kcal_per_mol_atoms": 3.095}

***

(3)
{"formula": "NdHoW", "functional": "PBE-GGA", "state": "relaxed", "lattice": [[-3.2660, -3.4794, -1.1516], [-4.8058, 0.9067, 0.4265], [-2.7750, 0.4728, -4.0218]], "species": ["Ho", "Nd", "W"], "fractional_positions": [[0.2500, 0.2500, 0.2500], [0.7500, 0.7500, 0.7500], [0.0000, 0.0000, 0.0000]], "formation_energy_ev_per_atom": 0.85, "magmom_total_mub_per_fu": 0.0, "e_above_lowest_polymorph_kcal_per_mol_atoms": 0.000}

***

(4)
{"formula": "Zr2Tl4Cl", "functional": "PBE-GGA", "state": "relaxed", "lattice": [[4.5631, 1.1737, 4.3108], [-5.8188, -2.1723, 1.4851], [2.4748, -4.7985, -3.4106]], "species": ["Cl", "Tl", "Tl", "Tl", "Tl", "Zr", "Zr"], "fractional_positions": [[0.0000, 0.0000, 0.0000], [0.7338, 0.2662, 0.0000], [0.2662, 0.7338, 0.0000], [0.7338, 0.7338, 0.4675], [0.2662, 0.2662, 0.5325], [0.7500, 0.2500, 0.5000], [0.2500, 0.7500, 0.5000]], "magmom_total_mub_per_fu": 0.0}

***

| no. | total energy (eV per atom) |
| --- | --- |
| 1 | -4.528 |
| 2 | -3.066 |
| 3 | -6.583 |
| 4 | -4.104 |